Record 1
{"formula": "PrGa3Pd5", "functional": "GGA-PBE", "state": "optimized geometry", "lattice_angstrom": [[-2.270, 2.334, -2.168], [-3.450, -1.269, 5.774], [5.437, 10.439, 5.544]], "species": ["Pr", "Pr", "Ga", "Ga", "Ga", "Ga", "Ga", "Ga", "Pd", "Pd", "Pd", "Pd", "Pd", "Pd", "Pd", "Pd", "Pd", "Pd"], "fractional_positions": [[0.864, 0.729, 0.750], [0.136, 0.271, 0.250], [0.380, 0.761, 0.960], [0.876, 0.753, 0.250], [0.380, 0.761, 0.540], [0.620, 0.239, 0.460], [0.124, 0.247, 0.750], [0.620, 0.239, 0.040], [0.801, 0.602, 0.428], [0.199, 0.398, 0.928], [0.000, 0.000, 0.500], [0.000, 0.000, 0.000], [0.455, 0.909, 0.146], [0.545, 0.091, 0.854], [0.545, 0.091, 0.646], [0.801, 0.602, 0.072], [0.199, 0.398, 0.572], [0.455, 0.909, 0.354]], "n_ef_per_ev_atom": 0.377, "e_form_ev_per_atom": -0.66}

***

Record 2
{"formula": "LiGdGeRu", "functional": "GGA-PBE", "state": "optimized geometry", "lattice_angstrom": [[-0.720, -0.951, 4.436], [2.785, -2.911, 2.206], [2.909, 1.574, 3.187]], "species": ["Ru", "Ge", "Gd", "Li"], "fractional_positions": [[0.000, 0.000, 0.000], [0.250, 0.250, 0.250], [0.750, 0.750, 0.750], [0.500, 0.500, 0.500]], "n_ef_per_ev_atom": 0.915, "e_form_ev_per_atom": -0.34}

***

Record 3
{"formula": "LiH3Pd", "functional": "GGA-PBE", "state": "optimized geometry", "lattice_angstrom": [[-1.048, -0.297, 5.014], [-0.718, -4.462, 2.429], [3.331, -1.864, 3.429]], "species": ["H", "H", "H", "H", "H", "H", "Pd", "Pd", "Li", "Li"], "fractional_positions": [[0.466, 0.073, 0.682], [0.073, 0.682, 0.466], [0.318, 0.534, 0.927], [0.927, 0.318, 0.534], [0.534, 0.927, 0.318], [0.682, 0.466, 0.073], [0.330, 0.330, 0.330], [0.670, 0.670, 0.670], [0.114, 0.114, 0.114], [0.886, 0.886, 0.886]], "n_ef_per_ev_atom": 0.000, "energy_ry_per_atom": -0.270}